Here is crystalline PaBe2PtO8 at its relaxed geometry from Alexandria via LeMat-Bulk. Energies are from PBE. Values from VASP.

The total magnetization is 2.6 μB per formula unit. As for the final energy: -81.82 eV per cell.

Structure (Quantum ESPRESSO input):
```
&SYSTEM
  ibrav = 0, nat = 12, ntyp = 4
/
ATOMIC_SPECIES
Pa 231.04 Pa.upf
Be 9.01 Be.upf
Pt 195.08 Pt.upf
O 16.00 O.upf
CELL_PARAMETERS angstrom
5.183 0.000 0.000
-2.592 4.489 0.000
0.000 0.000 6.211
ATOMIC_POSITIONS crystal
Pa 0.000 0.000 0.000
Be 0.333 0.667 0.223
Be 0.667 0.333 0.777
Pt 0.000 0.000 0.500
O 0.160 0.321 0.280
O 0.160 0.840 0.280
O 0.321 0.160 0.720
O 0.333 0.667 0.963
O 0.667 0.333 0.037
O 0.679 0.840 0.280
O 0.840 0.160 0.720
O 0.840 0.679 0.720
```



Here is crystalline PuPa2BeO8 at its relaxed geometry from Alexandria via LeMat-Bulk. Energies are from PBE. Values from VASP.

The total magnetization is 4.0 μB per formula unit. As for the final energy: -109.89 eV per cell.

Structure (Quantum ESPRESSO input):
```
&SYSTEM
  ibrav = 0, nat = 12, ntyp = 4
/
ATOMIC_SPECIES
Pu 244.00 Pu.upf
Pa 231.04 Pa.upf
Be 9.01 Be.upf
O 16.00 O.upf
CELL_PARAMETERS angstrom
5.124 0.000 0.000
-2.562 4.438 0.000
0.000 0.000 6.034
ATOMIC_POSITIONS crystal
Pu 0.000 0.000 0.000
Pa 0.333 0.667 0.373
Pa 0.667 0.333 0.627
Be 0.000 0.000 0.500
O 0.161 0.322 0.678
O 0.161 0.839 0.678
O 0.322 0.161 0.322
O 0.333 0.667 0.057
O 0.667 0.333 0.943
O 0.678 0.839 0.678
O 0.839 0.161 0.322
O 0.839 0.678 0.322
```



Here is crystalline PuPaBeO6 at its relaxed geometry from Alexandria via LeMat-Bulk. Energies are from PBE. Values from VASP.

The total magnetization is 3.0 μB per formula unit. As for the final energy: -82.64 eV per cell.

Structure (Quantum ESPRESSO input):
```
&SYSTEM
  ibrav = 0, nat = 9, ntyp = 4
/
ATOMIC_SPECIES
Pu 244.00 Pu.upf
Pa 231.04 Pa.upf
Be 9.01 Be.upf
O 16.00 O.upf
CELL_PARAMETERS angstrom
5.137 0.000 0.000
-2.569 4.449 0.000
0.000 0.000 4.912
ATOMIC_POSITIONS crystal
Pu 0.000 0.000 0.000
Pa 0.333 0.667 0.500
Be 0.667 0.333 0.000
O 0.363 0.023 0.772
O 0.363 0.340 0.228
O 0.660 0.023 0.228
O 0.660 0.637 0.772
O 0.977 0.340 0.772
O 0.977 0.637 0.228
```



Here is crystalline RbPaBe2O6 at its relaxed geometry from Alexandria via LeMat-Bulk. Energies are from PBE. Values from VASP.

The total magnetization is 0.0 μB per formula unit. As for the final energy: -143.42 eV per cell.

Structure (Quantum ESPRESSO input):
```
&SYSTEM
  ibrav = 0, nat = 20, ntyp = 4
/
ATOMIC_SPECIES
Rb 85.47 Rb.upf
Pa 231.04 Pa.upf
Be 9.01 Be.upf
O 16.00 O.upf
CELL_PARAMETERS angstrom
4.528 -5.198 0.000
4.528 5.198 0.000
-0.942 0.000 5.517
ATOMIC_POSITIONS crystal
Rb 0.074 0.926 0.750
Rb 0.926 0.074 0.250
Pa 0.317 0.683 0.250
Pa 0.683 0.317 0.750
Be 0.219 0.375 0.796
Be 0.375 0.219 0.296
Be 0.625 0.781 0.704
Be 0.781 0.625 0.204
O 0.019 0.678 0.271
O 0.268 0.625 0.832
O 0.287 0.357 0.103
O 0.322 0.981 0.229
O 0.357 0.287 0.603
O 0.375 0.732 0.668
O 0.625 0.268 0.332
O 0.643 0.713 0.397
O 0.678 0.019 0.771
O 0.713 0.643 0.897
O 0.732 0.375 0.168
O 0.981 0.322 0.729
```